No. 1
VASP calculation (PBE-GGA) on an optimized crystal structure of Ba3Sm2TmSe6.

## Properties
Symmetry   C2/m
Total energy   -5.27 eV per atom

POSCAR file:
```
Ba3Sm2TmSe6
1.0
7.4872 0.0032 -0.0005
-3.7390 6.4867 -0.0005
-1.2508 -2.1657 7.3842
Ba Se Sm Tm
3 6 2 1
Cartesian
4.9574 0.0202 3.6916
1.2487 2.1621 3.6916
-2.4600 4.3040 3.6916
-1.2147 2.1032 1.5766
2.4288 -0.0011 1.5766
3.7121 2.2210 5.8066
2.5332 4.3863 1.5974
0.0686 4.3253 5.8066
-0.0358 -0.0621 5.7857
0.0133 4.3196 -0.0005
3.7348 2.1703 -0.0005
0.0000 0.0000 0.0000
```

=====

No. 2
VASP calculation (PBE-GGA) on an optimized crystal structure of Dy3Pd2Rh.

## Properties
Symmetry   C2/c
E_form   -820 meV per atom
ΔE to the lowest computed polymorph   0.39 eV per formula unit

POSCAR file:
```
Dy3Pd2Rh
1.0
5.6159 0.0000 0.0000
0.0000 6.5699 0.0566
-2.8080 -1.5799 7.0682
Dy Rh Pd
6 2 4
Cartesian
2.2045 1.3376 4.6900
-0.6034 0.3675 2.4065
0.6034 3.6525 2.4348
3.5346 4.9274 0.0424
3.4114 4.6225 4.7183
2.0813 1.6425 0.0141
0.6866 4.9274 0.0424
4.9293 1.6425 0.0141
0.5831 5.4497 4.8023
2.2249 -0.4596 2.3224
-0.5831 2.1647 4.7740
3.3910 2.8253 2.3507
```

=====

No. 3
VASP calculation (PBE-GGA) on an optimized crystal structure of HoMgOs4.

## Properties
Symmetry   F-43m
E_form   -40 meV per atom

POSCAR file:
```
HoMgOs4
1.0
5.2764 0.0000 0.0000
2.6382 4.5695 0.0000
2.6382 1.5232 4.3081
Mg Ho Os
1 1 4
Cartesian
0.0000 0.0000 0.0000
2.6382 1.5232 1.0770
5.2764 1.5191 2.6940
5.2764 3.0463 0.5342
6.5990 3.8099 2.6940
3.9538 3.8099 2.6940
```

=====

No. 4
VASP calculation (PBE-GGA) on an optimized crystal structure of AcTb6Th.

## Properties
Symmetry   P4/mmm
E_form   40 meV per atom
ΔE to the lowest computed polymorph   0.00 eV per formula unit

POSCAR file:
```
AcTb6Th
1.0
5.1039 0.0000 0.0000
0.0000 5.1039 0.0000
0.0000 0.0000 10.2340
Th Tb Ac
1 6 1
Cartesian
0.0000 0.0000 5.1170
0.0000 2.5520 7.5721
0.0000 2.5520 2.6620
2.5520 0.0000 2.6620
2.5520 0.0000 7.5721
2.5520 2.5520 0.0000
2.5520 2.5520 5.1170
0.0000 0.0000 0.0000
```

=====

No. 5
VASP calculation (PBE-GGA) on an optimized crystal structure of CsK2Eu.

## Properties
Symmetry   R-3m
E_form   219 meV per atom

POSCAR file:
```
CsK2Eu
1.0
-0.7703 1.6873 4.0420
0.4559 -2.5651 3.6043
16.0762 4.2510 3.7357
K Cs Eu
2 1 1
Cartesian
3.6233 0.2279 7.9352
12.1385 3.1453 3.4469
7.8809 1.6866 5.6910
0.0000 0.0000 0.0000
```

=====

No. 6
VASP calculation (PBE-GGA) on an optimized crystal structure of RbHg3Se3.

## Properties
Symmetry   P6_3/m
ΔE to the lowest computed polymorph   0.00 eV per formula unit

POSCAR file:
```
RbHg3Se3
1.0
-3.3072 -2.1303 2.4895
-0.9087 -7.8459 -7.9207
7.2266 -1.3708 8.4272
Rb Hg Se
2 6 6
Cartesian
2.0345 -5.1268 4.8450
0.9763 -6.2201 -1.8490
1.6308 -1.3184 3.2147
3.5991 -6.6233 1.2901
-0.5883 -4.7236 1.7059
5.8344 -4.2434 6.2960
-2.8235 -7.1036 -3.3000
1.3800 -10.0285 -0.2186
1.8293 -3.4737 1.6341
-1.0999 -9.0616 -2.6857
1.1816 -7.8732 1.3619
5.1243 -6.4262 3.4850
-2.1135 -4.9207 -0.4889
4.1107 -2.2853 5.6817
```

=====

No. 7
VASP calculation (PBE-GGA) on an optimized crystal structure of LiMg12Cd7.

## Properties
Symmetry   R-3
E_form   -31 meV per atom
ΔE to the lowest computed polymorph   0.93 eV per formula unit

POSCAR file:
```
LiMg12Cd7
1.0
-0.8994 -7.3641 3.1937
6.5363 -0.1684 -5.3565
7.1055 -2.0445 4.0958
Mg Cd Li
12 7 1
Cartesian
6.1286 -2.5410 -0.8478
7.6166 -5.5071 0.1275
10.4576 -5.0095 1.7269
5.1258 -4.0699 1.8055
2.2847 -4.5674 0.2061
6.6138 -7.0360 2.7808
8.8115 -2.3676 0.8940
3.2977 -1.4745 0.4662
9.4446 -8.1025 1.4668
8.8472 -3.5553 -2.1826
3.9308 -7.2093 1.0390
3.8951 -6.0216 4.1156
4.8678 -5.1853 -1.0840
11.3298 -3.4247 -0.5895
-0.4497 -3.6820 1.5969
7.8745 -4.3916 3.0170
5.2070 -8.5153 4.9511
1.4125 -6.1522 2.5225
7.5354 -1.0616 -3.0181
0.0000 0.0000 0.0000
```

=====

No. 8
VASP calculation (PBE-GGA) on an optimized crystal structure of YHo4Pd5.

## Properties
Symmetry   P4/mmm
E_form   -892 meV per atom

POSCAR file:
```
YHo4Pd5
1.0
3.4666 0.0000 0.0000
0.0000 3.4666 0.0000
0.0000 0.0000 17.8164
Pd Y Ho
5 1 4
Cartesian
1.7333 1.7333 12.4612
1.7333 1.7333 1.8317
1.7333 1.7333 5.3553
1.7333 1.7333 15.9847
1.7333 1.7333 8.9082
0.0000 0.0000 0.0000
0.0000 0.0000 14.2381
0.0000 0.0000 3.5784
0.0000 0.0000 7.1327
0.0000 0.0000 10.6838
```